[1]
DFT (GGA-PBE) results for crystalline Os2RuAu at its relaxed geometry.

Properties
* energy of formation: 547 meV/atom
* E: -65.65 eV per cell

Cell and atoms, written as CIF:
```
data_Os2RuAu
_chemical_formula_sum 'Os4 Ru2 Au2'
_cell_length_a 3.851
_cell_length_b 3.851
_cell_length_c 8.068
_cell_angle_alpha 90.00
_cell_angle_beta 90.00
_cell_angle_gamma 90.00
_symmetry_space_group_name_H-M 'I 4/m m m'
_symmetry_Int_Tables_number 139
_symmetry_space_group_name_Hall '-I 4 2'
loop_
_atom_site_label
_atom_site_type_symbol
_atom_site_fract_x
_atom_site_fract_y
_atom_site_fract_z
_atom_site_occupancy
Os1 Os 0.000 0.500 0.250 1
Ru1 Ru 0.000 0.000 0.000 1
Au1 Au 0.000 0.000 0.500 1
```



[2]
DFT (GGA-PBE) results for crystalline KLiLa2Br8 at its relaxed geometry.

Properties
* E: -48.33 eV per cell
* formation energy from raw total energies: -1840.2 meV per atom

Cell and atoms, written as CIF:
```
data_KLiLa2Br8
_chemical_formula_sum 'K1 Li1 La2 Br8'
_cell_length_a 7.109
_cell_length_b 9.144
_cell_length_c 7.164
_cell_angle_alpha 90.00
_cell_angle_beta 95.83
_cell_angle_gamma 90.00
_symmetry_space_group_name_H-M 'P 1 2/m 1'
_symmetry_Int_Tables_number 10
loop_
_symmetry_equiv_pos_as_xyz
'x,y,z'
'-x,-y,-z'
'-x,y,-z'
'x,-y,z'
loop_
_atom_site_label
_atom_site_type_symbol
_atom_site_fract_x
_atom_site_fract_y
_atom_site_fract_z
_atom_site_occupancy
K1 K 0.000 0.000 0.000 1
Li1 Li 0.000 0.500 0.000 1
La1 La 0.500 0.257 0.500 1
Br1 Br 0.205 0.285 0.193 1
Br2 Br 0.305 0.500 0.683 1
Br3 Br 0.313 0.000 0.670 1
```



[3]
DFT (GGA-PBE) results for crystalline Sb3WCl at its relaxed geometry.

Properties
* E: -25.60 eV per cell
* formation energy from raw total energies: 312.4 meV per atom

Cell and atoms, written as CIF:
```
data_Sb3WCl
_chemical_formula_sum 'Sb3 W1 Cl1'
_cell_length_a 5.236
_cell_length_b 5.236
_cell_length_c 5.236
_cell_angle_alpha 90.00
_cell_angle_beta 90.00
_cell_angle_gamma 90.00
_symmetry_space_group_name_H-M 'P m -3 m'
_symmetry_Int_Tables_number 221
_symmetry_space_group_name_Hall '-P 4 2 3'
loop_
_atom_site_label
_atom_site_type_symbol
_atom_site_fract_x
_atom_site_fract_y
_atom_site_fract_z
_atom_site_occupancy
Sb1 Sb 0.000 0.000 0.500 1
W1 W 0.000 0.000 0.000 1
Cl1 Cl 0.500 0.500 0.500 1
```



[4]
DFT (GGA-PBE) results for crystalline RbTlF2 at its relaxed geometry.

Properties
* E: -15.44 eV per cell
* formation energy from raw total energies: -2089.7 meV per atom

Cell and atoms, written as CIF:
```
data_RbTlF2
_chemical_formula_sum 'Rb1 Tl1 F2'
_cell_length_a 4.904
_cell_length_b 4.904
_cell_length_c 3.409
_cell_angle_alpha 90.00
_cell_angle_beta 90.00
_cell_angle_gamma 90.00
_symmetry_space_group_name_H-M 'P 4/m m m'
_symmetry_Int_Tables_number 123
_symmetry_space_group_name_Hall '-P 4 2'
loop_
_atom_site_label
_atom_site_type_symbol
_atom_site_fract_x
_atom_site_fract_y
_atom_site_fract_z
_atom_site_occupancy
Rb1 Rb 0.000 0.000 0.000 1
Tl1 Tl 0.500 0.500 0.000 1
F1 F 0.000 0.500 0.500 1
```



[5]
DFT (GGA-PBE) results for crystalline Na4Mn3SnSe8 at its relaxed geometry.

Properties
* E: -227.73 eV per cell
* formation energy from raw total energies: -703.0 meV per atom

Cell and atoms, written as CIF:
```
data_Na4Mn3SnSe8
_chemical_formula_sum 'Na12 Mn9 Sn3 Se24'
_cell_length_a 7.7495
_cell_length_b 7.7495
_cell_length_c 20.9493
_cell_angle_alpha 90.00
_cell_angle_beta 90.00
_cell_angle_gamma 120.00
_symmetry_space_group_name_H-M 'R -3 m'
_symmetry_Int_Tables_number 166
_symmetry_space_group_name_Hall '-R 3 2"'
loop_
_atom_site_label
_atom_site_type_symbol
_atom_site_fract_x
_atom_site_fract_y
_atom_site_fract_z
_atom_site_occupancy
Na1 Na 0.0000 0.0000 0.0000 1
Na2 Na 0.0000 0.5000 0.0000 1
Mn1 Mn 0.0000 0.5000 0.5000 1
Sn1 Sn 0.0000 0.0000 0.5000 1
Se1 Se 0.0000 0.0000 0.2350 1
Se2 Se 0.0134 0.5067 0.7637 1
```



[6]
DFT (GGA-PBE) results for crystalline AcNi4Rh at its relaxed geometry.

Properties
* energy of formation: -15 meV/atom
* E: -69.35 eV per cell

Cell and atoms, written as CIF:
```
data_AcNi4Rh
_chemical_formula_sum 'Ac2 Ni8 Rh2'
_cell_length_a 7.298
_cell_length_b 3.854
_cell_length_c 7.142
_cell_angle_alpha 90.00
_cell_angle_beta 90.00
_cell_angle_gamma 90.00
_symmetry_space_group_name_H-M 'P m m a'
_symmetry_Int_Tables_number 51
loop_
_symmetry_equiv_pos_as_xyz
'x,y,z'
'-x,-y,-z'
'-x+1/2,-y,z'
'x+1/2,y,-z'
'x+1/2,-y,-z'
'-x+1/2,y,z'
'-x,y,-z'
'x,-y,z'
loop_
_atom_site_label
_atom_site_type_symbol
_atom_site_fract_x
_atom_site_fract_y
_atom_site_fract_z
_atom_site_occupancy
Ac1 Ac 0.250 0.000 0.125 1
Ni1 Ni 0.000 0.000 0.500 1
Ni2 Ni 0.033 0.500 0.720 1
Ni3 Ni 0.250 0.500 0.462 1
Rh1 Rh 0.250 0.000 0.728 1
```